(1)
Compound: Sr4LiTe
Source: Alexandria via LeMat-Bulk
Functional: PBE
Structure: relaxed

Geometry as CIF:
```
data_Sr4LiTe
_space_group_name_H-M_alt 'F -4 3 m'
_space_group_IT_number 216
_space_group_name_Hall 'F -4 2 3'
_cell_length_a 10.4405
_cell_length_b 10.4405
_cell_length_c 10.4405
_cell_angle_alpha 90.00
_cell_angle_beta 90.00
_cell_angle_gamma 90.00
loop_
_atom_site_label
_atom_site_fract_x
_atom_site_fract_y
_atom_site_fract_z
Sr1 0.1246 0.1246 0.1246
Li1 0.0000 0.0000 0.5000
Te1 0.2500 0.2500 0.7500
```

Results
V in A^3/atom: 47.4
Size of the total moment in μB per formula unit: 0.00
Formation energy (no corrections) in meV/atom: 131
Calculated total energy in eV/atom: -1.83
Theoretical density in g cm⁻³: 2.83

***

(2)
Compound: SrLiTe2
Source: Alexandria via LeMat-Bulk
Functional: PBE
Structure: relaxed

Geometry as CIF:
```
data_SrLiTe2
_space_group_name_H-M_alt 'C m m m'
_space_group_IT_number 65
_space_group_name_Hall '-C 2 2'
_cell_length_a 6.9794
_cell_length_b 8.2312
_cell_length_c 4.1755
_cell_angle_alpha 90.00
_cell_angle_beta 90.00
_cell_angle_gamma 90.00
loop_
_atom_site_label
_atom_site_fract_x
_atom_site_fract_y
_atom_site_fract_z
Sr1 0.0000 0.0000 0.0000
Li1 0.0000 0.5000 0.0000
Te1 0.2500 0.2500 0.5000
```

Results
V in A^3/atom: 30.0
Size of the total moment in μB per formula unit: 0.00
Formation energy (no corrections) in meV/atom: -1019
Calculated total energy in eV/atom: -3.49
Theoretical density in g cm⁻³: 4.84

***

(3)
Compound: SrLiTe4
Source: Alexandria via LeMat-Bulk
Functional: PBE
Structure: relaxed

Geometry as CIF:
```
data_SrLiTe4
_space_group_name_H-M_alt 'F -4 3 m'
_space_group_IT_number 216
_space_group_name_Hall 'F -4 2 3'
_cell_length_a 9.3022
_cell_length_b 9.3022
_cell_length_c 9.3022
_cell_angle_alpha 90.00
_cell_angle_beta 90.00
_cell_angle_gamma 90.00
loop_
_atom_site_label
_atom_site_fract_x
_atom_site_fract_y
_atom_site_fract_z
Sr1 0.0000 0.0000 0.0000
Li1 0.2500 0.2500 0.2500
Te1 0.1247 0.1247 0.6247
```

Results
V in A^3/atom: 33.5
Size of the total moment in μB per formula unit: 0.00
Formation energy (no corrections) in meV/atom: -258
Calculated total energy in eV/atom: -2.95
Theoretical density in g cm⁻³: 4.99

***

(4)
Compound: Sr2LiTe2
Source: Alexandria via LeMat-Bulk
Functional: PBE
Structure: relaxed

Geometry as CIF:
```
data_Sr2LiTe2
_space_group_name_H-M_alt 'P 4/m b m'
_space_group_IT_number 127
_space_group_name_Hall '-P 4 2ab'
_cell_length_a 8.6722
_cell_length_b 8.6722
_cell_length_c 4.4505
_cell_angle_alpha 90.00
_cell_angle_beta 90.00
_cell_angle_gamma 90.00
loop_
_atom_site_label
_atom_site_fract_x
_atom_site_fract_y
_atom_site_fract_z
Sr1 0.1517 0.3483 0.0000
Li1 0.0000 0.0000 0.5000
Te1 0.1576 0.6576 0.5000
```

Results
V in A^3/atom: 33.5
Size of the total moment in μB per formula unit: 0.91
Formation energy (no corrections) in meV/atom: -1230
Calculated total energy in eV/atom: -3.54
Theoretical density in g cm⁻³: 4.34
Excess energy over the best structure of this formula in the dataset in eV per atom: 0.0000

***

(5)
Compound: Sr3LiTe
Source: Alexandria via LeMat-Bulk
Functional: PBE
Structure: relaxed

Geometry as CIF:
```
data_Sr3LiTe
_space_group_name_H-M_alt 'P m -3 m'
_space_group_IT_number 221
_space_group_name_Hall '-P 4 2 3'
_cell_length_a 6.3728
_cell_length_b 6.3728
_cell_length_c 6.3728
_cell_angle_alpha 90.00
_cell_angle_beta 90.00
_cell_angle_gamma 90.00
loop_
_atom_site_label
_atom_site_fract_x
_atom_site_fract_y
_atom_site_fract_z
Sr1 0.0000 0.0000 0.5000
Li1 0.5000 0.5000 0.5000
Te1 0.0000 0.0000 0.0000
```

Results
V in A^3/atom: 51.8
Size of the total moment in μB per formula unit: 0.00
Formation energy (no corrections) in meV/atom: -391
Calculated total energy in eV/atom: -2.41
Theoretical density in g cm⁻³: 2.55
Excess energy over the best structure of this formula in the dataset in eV per atom: 0.0000

***

(6)
Compound: SrLi2Te
Source: Alexandria via LeMat-Bulk
Functional: PBE
Structure: relaxed

Geometry as CIF:
```
data_SrLi2Te
_space_group_name_H-M_alt 'R -3 m'
_space_group_IT_number 166
_space_group_name_Hall '-R 3 2"'
_cell_length_a 4.4800
_cell_length_b 4.4800
_cell_length_c 20.7750
_cell_angle_alpha 90.00
_cell_angle_beta 90.00
_cell_angle_gamma 120.00
loop_
_atom_site_label
_atom_site_fract_x
_atom_site_fract_y
_atom_site_fract_z
Sr1 0.0000 0.0000 0.0000
Li1 0.0000 0.0000 0.2090
Te1 0.0000 0.0000 0.5000
```

Results
V in A^3/atom: 30.1
Size of the total moment in μB per formula unit: 0.00
Formation energy (no corrections) in meV/atom: -622
Calculated total energy in eV/atom: -2.79
Theoretical density in g cm⁻³: 3.16

***

(7)
Compound: SrLi4Te
Source: Alexandria via LeMat-Bulk
Functional: PBE
Structure: relaxed

Geometry as CIF:
```
data_SrLi4Te
_space_group_name_H-M_alt 'F -4 3 m'
_space_group_IT_number 216
_space_group_name_Hall 'F -4 2 3'
_cell_length_a 8.4235
_cell_length_b 8.4235
_cell_length_c 8.4235
_cell_angle_alpha 90.00
_cell_angle_beta 90.00
_cell_angle_gamma 90.00
loop_
_atom_site_label
_atom_site_fract_x
_atom_site_fract_y
_atom_site_fract_z
Sr1 0.0000 0.0000 0.0000
Li1 0.1233 0.1233 0.3767
Te1 0.2500 0.2500 0.7500
```

Results
V in A^3/atom: 24.9
Size of the total moment in μB per formula unit: 0.00
Formation energy (no corrections) in meV/atom: -261
Calculated total energy in eV/atom: -2.34
Theoretical density in g cm⁻³: 2.70

***

(8)
Compound: SrLiTe2
Source: Alexandria via LeMat-Bulk
Functional: PBE
Structure: relaxed

Geometry as CIF:
```
data_SrLiTe2
_space_group_name_H-M_alt 'R 3 m'
_space_group_IT_number 160
_space_group_name_Hall 'R 3 -2"'
_cell_length_a 4.7162
_cell_length_b 4.7162
_cell_length_c 20.0756
_cell_angle_alpha 90.00
_cell_angle_beta 90.00
_cell_angle_gamma 120.00
loop_
_atom_site_label
_atom_site_fract_x
_atom_site_fract_y
_atom_site_fract_z
Sr1 0.0000 0.0000 0.0000
Li1 0.0000 0.0000 0.1774
Te1 0.0000 0.0000 0.5761
Te2 0.0000 0.0000 0.7622
```

Results
V in A^3/atom: 32.2
Size of the total moment in μB per formula unit: 0.00
Formation energy (no corrections) in meV/atom: -1026
Calculated total energy in eV/atom: -3.50
Theoretical density in g cm⁻³: 4.51

***

(9)
Compound: SrLiTe2
Source: Alexandria via LeMat-Bulk
Functional: PBE
Structure: relaxed

Geometry as CIF:
```
data_SrLiTe2
_space_group_name_H-M_alt 'C m m e'
_space_group_IT_number 67
_space_group_name_Hall '-C 2a 2'
_cell_length_a 6.5333
_cell_length_b 6.5677
_cell_length_c 11.1177
_cell_angle_alpha 90.00
_cell_angle_beta 90.00
_cell_angle_gamma 90.00
loop_
_atom_site_label
_atom_site_fract_x
_atom_site_fract_y
_atom_site_fract_z
Sr1 0.0000 0.2500 0.2188
Li1 0.2500 0.0000 0.5000
Te1 0.0000 0.2500 0.6474
Te2 0.2500 0.0000 0.0000
```

Results
V in A^3/atom: 29.8
Size of the total moment in μB per formula unit: 0.00
Formation energy (no corrections) in meV/atom: -1185
Calculated total energy in eV/atom: -3.66
Theoretical density in g cm⁻³: 4.87

***

(10)
Compound: SrLi2Te
Source: Alexandria via LeMat-Bulk
Functional: PBE
Structure: relaxed

Geometry as CIF:
```
data_SrLi2Te
_space_group_name_H-M_alt 'P 4/m m m'
_space_group_IT_number 123
_space_group_name_Hall '-P 4 2'
_cell_length_a 4.6558
_cell_length_b 4.6558
_cell_length_c 5.3193
_cell_angle_alpha 90.00
_cell_angle_beta 90.00
_cell_angle_gamma 90.00
loop_
_atom_site_label
_atom_site_fract_x
_atom_site_fract_y
_atom_site_fract_z
Sr1 0.0000 0.0000 0.0000
Li1 0.0000 0.5000 0.5000
Te1 0.5000 0.5000 0.0000
```

Results
V in A^3/atom: 28.8
Size of the total moment in μB per formula unit: 0.00
Formation energy (no corrections) in meV/atom: -653
Calculated total energy in eV/atom: -2.82
Theoretical density in g cm⁻³: 3.30

***

(11)
Compound: Sr2LiThTe4
Source: Alexandria via LeMat-Bulk
Functional: PBE
Structure: relaxed

Geometry as CIF:
```
data_Sr2LiThTe4
_space_group_name_H-M_alt 'P 1 2/m 1'
_space_group_IT_number 10
_space_group_name_Hall '-P 2y'
_cell_length_a 7.9144
_cell_length_b 4.5437
_cell_length_c 7.9523
_cell_angle_alpha 90.00
_cell_angle_beta 108.98
_cell_angle_gamma 90.00
loop_
_atom_site_label
_atom_site_fract_x
_atom_site_fract_y
_atom_site_fract_z
Sr1 0.0000 0.0000 0.0000
Sr2 0.5000 0.5000 0.0000
Li1 0.0000 0.5000 0.5000
Th1 0.5000 0.0000 0.5000
Te1 0.2421 0.0000 0.7277
Te2 0.2499 0.5000 0.2655
```

Results
V in A^3/atom: 33.8
Size of the total moment in μB per formula unit: 0.00
Formation energy (no corrections) in meV/atom: -1371
Calculated total energy in eV/atom: -4.53
Theoretical density in g cm⁻³: 5.68

***

(12)
Compound: SrLi2ThTe4
Source: Alexandria via LeMat-Bulk
Functional: PBE
Structure: relaxed

Geometry as CIF:
```
data_SrLi2ThTe4
_space_group_name_H-M_alt 'I -4 2 m'
_space_group_IT_number 121
_space_group_name_Hall 'I -4 2'
_cell_length_a 7.8216
_cell_length_b 7.8216
_cell_length_c 8.5994
_cell_angle_alpha 90.00
_cell_angle_beta 90.00
_cell_angle_gamma 90.00
loop_
_atom_site_label
_atom_site_fract_x
_atom_site_fract_y
_atom_site_fract_z
Sr1 0.0000 0.0000 0.0000
Li1 0.0000 0.5000 0.2500
Th1 0.0000 0.0000 0.5000
Te1 0.2294 0.2294 0.3056
```

Results
V in A^3/atom: 32.9
Size of the total moment in μB per formula unit: 0.00
Formation energy (no corrections) in meV/atom: -1104
Calculated total energy in eV/atom: -4.29
Theoretical density in g cm⁻³: 5.33